[1]
First-principles (GGA-PBEsol) data for an optimized crystal structure of Zn2InSb, as listed in Alexandria.

- uncorrected formation energy (meV per atom) = 137.7
- crystal system = trigonal
- magnetic moment (μB/cell) = 0.0

Geometry as CIF:
```
data_Zn2InSb
_space_group_name_H-M_alt 'R -3 m'
_space_group_IT_number 166
_space_group_name_Hall '-R 3 2"'
_cell_length_a 3.5283
_cell_length_b 3.5283
_cell_length_c 23.4085
_cell_angle_alpha 90.00
_cell_angle_beta 90.00
_cell_angle_gamma 120.00
loop_
_atom_site_label
_atom_site_type_symbol
_atom_site_fract_x
_atom_site_fract_y
_atom_site_fract_z
_atom_site_occupancy
Zn1 Zn 0.0000 0.0000 0.2502 1
In1 In 0.0000 0.0000 0.5000 1
Sb1 Sb 0.0000 0.0000 0.0000 1
```

=====

[2]
First-principles (GGA-PBEsol) data for an optimized crystal structure of CaCd2P, as listed in Alexandria.

- E_form (meV/atom) = -340
- crystal system = monoclinic
- magnetic moment (μB/cell) = 0.0

Geometry as CIF:
```
data_CaCd2P
_space_group_name_H-M_alt 'C 1 m 1'
_space_group_IT_number 8
_cell_length_a 7.234
_cell_length_b 4.146
_cell_length_c 6.789
_cell_angle_alpha 90.00
_cell_angle_beta 110.28
_cell_angle_gamma 90.00
loop_
_space_group_symop_operation_xyz
'x,y,z'
'x,-y,z'
'x+1/2,y+1/2,z'
'x+1/2,-y+1/2,z'
loop_
_atom_site_label
_atom_site_type_symbol
_atom_site_fract_x
_atom_site_fract_y
_atom_site_fract_z
_atom_site_occupancy
Ca1 Ca 0.000 0.000 0.000 1
Cd1 Cd 0.221 0.000 0.663 1
Cd2 Cd 0.467 0.000 0.405 1
P1 P 0.245 0.500 0.238 1
```

=====

[3]
First-principles (GGA-PBEsol) data for an optimized crystal structure of LiCd4Te, as listed in Alexandria.

- uncorrected formation energy (meV per atom) = 6.2
- crystal system = cubic
- magnetic moment (μB/cell) = 0.0

Geometry as CIF:
```
data_LiCd4Te
_space_group_name_H-M_alt 'F -4 3 m'
_space_group_IT_number 216
_space_group_name_Hall 'F -4 2 3'
_cell_length_a 8.253
_cell_length_b 8.253
_cell_length_c 8.253
_cell_angle_alpha 90.00
_cell_angle_beta 90.00
_cell_angle_gamma 90.00
loop_
_atom_site_label
_atom_site_type_symbol
_atom_site_fract_x
_atom_site_fract_y
_atom_site_fract_z
_atom_site_occupancy
Li1 Li 0.000 0.000 0.000 1
Cd1 Cd 0.125 0.125 0.625 1
Te1 Te 0.250 0.250 0.250 1
```

=====

[4]
First-principles (GGA-PBEsol) data for an optimized crystal structure of YAl2Se, as listed in Alexandria.

- uncorrected formation energy (meV per atom) = -481.5
- crystal system = monoclinic
- magnetic moment (μB/cell) = 0.0

Geometry as CIF:
```
data_YAl2Se
_space_group_name_H-M_alt 'C 1 m 1'
_space_group_IT_number 8
_cell_length_a 9.596
_cell_length_b 3.556
_cell_length_c 5.058
_cell_angle_alpha 90.00
_cell_angle_beta 107.63
_cell_angle_gamma 90.00
loop_
_space_group_symop_operation_xyz
'x,y,z'
'x,-y,z'
'x+1/2,y+1/2,z'
'x+1/2,-y+1/2,z'
loop_
_atom_site_label
_atom_site_type_symbol
_atom_site_fract_x
_atom_site_fract_y
_atom_site_fract_z
_atom_site_occupancy
Y1 Y 0.000 0.000 0.000 1
Al1 Al 0.008 0.500 0.510 1
Al2 Al 0.269 0.500 0.359 1
Se1 Se 0.250 0.000 0.763 1
```

=====

[5]
First-principles (GGA-PBEsol) data for an optimized crystal structure of LiAgP2, as listed in Alexandria.

- E_form (meV/atom) = 145
- crystal system = cubic
- magnetic moment (μB/cell) = 0.0

Geometry as CIF:
```
data_LiAgP2
_space_group_name_H-M_alt 'F m -3 m'
_space_group_IT_number 225
_space_group_name_Hall '-F 4 2 3'
_cell_length_a 6.267
_cell_length_b 6.267
_cell_length_c 6.267
_cell_angle_alpha 90.00
_cell_angle_beta 90.00
_cell_angle_gamma 90.00
loop_
_atom_site_label
_atom_site_type_symbol
_atom_site_fract_x
_atom_site_fract_y
_atom_site_fract_z
_atom_site_occupancy
Li1 Li 0.000 0.000 0.000 1
Ag1 Ag 0.000 0.000 0.500 1
P1 P 0.250 0.250 0.250 1
```

=====

[6]
First-principles (GGA-PBEsol) data for an optimized crystal structure of La3NbCl3O6, as listed in Alexandria.

- uncorrected formation energy (meV per atom) = -2876.2
- crystal system = hexagonal
- magnetic moment (μB/cell) = 1.1

Geometry as CIF:
```
data_La3NbCl3O6
_space_group_name_H-M_alt 'P 63/m'
_space_group_IT_number 176
_space_group_name_Hall '-P 6c'
_cell_length_a 9.4285
_cell_length_b 9.4285
_cell_length_c 5.3480
_cell_angle_alpha 90.00
_cell_angle_beta 90.00
_cell_angle_gamma 120.00
loop_
_atom_site_label
_atom_site_type_symbol
_atom_site_fract_x
_atom_site_fract_y
_atom_site_fract_z
_atom_site_occupancy
La1 La 0.0909 0.4045 0.2500 1
Nb1 Nb 0.3333 0.6667 0.7500 1
Cl1 Cl 0.0510 0.2376 0.7500 1
O1 O 0.1575 0.6390 0.5118 1
```

=====

[7]
First-principles (GGA-PBEsol) data for an optimized crystal structure of Zn5Ag, as listed in Alexandria.

- E_form (meV/atom) = 20
- crystal system = cubic
- magnetic moment (μB/cell) = 0.0

Geometry as CIF:
```
data_Zn5Ag
_space_group_name_H-M_alt 'F -4 3 m'
_space_group_IT_number 216
_space_group_name_Hall 'F -4 2 3'
_cell_length_a 7.035
_cell_length_b 7.035
_cell_length_c 7.035
_cell_angle_alpha 90.00
_cell_angle_beta 90.00
_cell_angle_gamma 90.00
loop_
_atom_site_label
_atom_site_type_symbol
_atom_site_fract_x
_atom_site_fract_y
_atom_site_fract_z
_atom_site_occupancy
Zn1 Zn 0.000 0.000 0.000 1
Zn2 Zn 0.125 0.125 0.375 1
Ag1 Ag 0.250 0.250 0.750 1
```

=====

[8]
First-principles (GGA-PBEsol) data for an optimized crystal structure of ReHgSb2I, as listed in Alexandria.

- uncorrected formation energy (meV per atom) = 1877.9
- crystal system = tetragonal
- magnetic moment (μB/cell) = 3.6

Geometry as CIF:
```
data_ReHgSb2I
_space_group_name_H-M_alt 'P 4/m m m'
_space_group_IT_number 123
_space_group_name_Hall '-P 4 2'
_cell_length_a 5.428
_cell_length_b 5.428
_cell_length_c 5.579
_cell_angle_alpha 90.00
_cell_angle_beta 90.00
_cell_angle_gamma 90.00
loop_
_atom_site_label
_atom_site_type_symbol
_atom_site_fract_x
_atom_site_fract_y
_atom_site_fract_z
_atom_site_occupancy
Re1 Re 0.000 0.000 0.000 1
Hg1 Hg 0.500 0.500 0.500 1
Sb1 Sb 0.000 0.500 0.500 1
I1 I 0.500 0.500 0.000 1
```